NpGaCoO6: optimized geometry, GGA+U.

Structure (POSCAR):
```
NpGaCoO6
1.0
5.204 0.000 0.000
-2.602 4.507 0.000
0.000 0.000 8.956
Np Ga Co O
2 2 2 12
Cartesian
0.000 3.005 2.239
2.602 1.502 6.717
0.000 3.005 6.717
2.602 1.502 2.239
0.000 0.000 0.000
0.000 0.000 4.478
-0.856 1.528 5.637
-1.707 3.001 7.797
0.856 1.528 7.797
-0.851 4.485 5.637
1.751 0.022 1.159
0.895 1.506 3.319
1.707 3.001 5.637
0.851 4.485 7.797
3.453 0.022 3.319
1.746 2.979 1.159
4.309 1.506 1.159
3.458 2.979 3.319
```

DFT total energy (eV/atom): -7.445
D(E_F) (states/eV per cell): 14.3

NpGa2CoO8: optimized geometry, GGA+U.

Structure (POSCAR):
```
NpGa2CoO8
1.0
4.722 0.000 0.000
0.000 5.998 0.000
-0.194 0.000 4.727
Np Ga Co O
1 2 1 8
Cartesian
0.000 0.000 0.000
2.264 1.603 2.363
2.264 4.395 2.363
0.000 2.999 0.000
0.739 1.550 3.841
0.739 4.448 3.841
1.348 2.999 1.419
1.419 0.000 1.496
3.108 0.000 3.231
3.180 2.999 3.308
3.788 1.550 0.886
3.788 4.448 0.886
```

DFT total energy (eV/atom): -7.095
D(E_F) (states/eV per cell): 4.1